## FeAg2Mo (GGA-PBE)

Data for a geometry-optimized FeAg2Mo structure.

V   15.49 Å³/atom
Distance to the lowest polymorph of the same formula   15.86 kcal/mol of atoms
ΔH_f (0 K)   3.96 eV/f.u.

Unit cell a=6.281 b=6.281 c=6.281 alpha=90.00 beta=90.00 gamma=90.00
Space group Fm-3m (No. 225)
Asymmetric unit:
1 Fe 0.000 0.000 0.000 [4 per cell]
2 Ag 0.250 0.250 0.250 [8 per cell]
3 Mo 0.000 0.000 0.500 [4 per cell]